Computed, not measured: a relaxed structure of CsCd2Au3 at the PBE level of DFT.

Values from the calculation:
uncorrected energy	-28.183	eV for the cell shown
total magnetic moment	0.00	μB per formula unit
energy relative to the elements	-0.26	eV per atom
space group	Cmcm, No. 63

```
12
Lattice="6.1168 0.0000 0.0000 0.0000 7.0992 -2.2592 0.0000 0.2104 7.4470" Properties=species:S:1:pos:R:3 pbc="T T T"
Cs 1.5292 2.5183 1.7873
Cs 4.5876 4.7912 3.4005
Cd 3.0584 5.7796 -0.3999
Cd 0.0000 5.7796 -0.3999
Cd 0.0000 1.5300 5.5877
Cd 3.0584 1.5300 5.5877
Au 4.5876 3.4003 -0.5184
Au 4.5876 0.6329 3.3808
Au 1.5292 3.9093 5.7062
Au 4.5876 0.7580 0.5380
Au 1.5292 6.5515 4.6498
Au 1.5292 6.6767 1.8070
```